# 1
A relaxed V2GeSe crystal. Source: Alexandria via LeMat-Bulk, functional PBE.

```
data_V2GeSe
_chemical_formula_sum 'V8 Ge4 Se4'
_cell_length_a 5.678
_cell_length_b 5.678
_cell_length_c 11.434
_cell_angle_alpha 90.00
_cell_angle_beta 90.00
_cell_angle_gamma 90.00
_symmetry_space_group_name_H-M 'I -4 2 d'
_symmetry_Int_Tables_number 122
_symmetry_space_group_name_Hall 'I -4 2bw'
loop_
_atom_site_label
_atom_site_fract_x
_atom_site_fract_y
_atom_site_fract_z
_atom_site_occupancy
V1 0.249 0.250 0.125 1
Ge1 0.000 0.000 0.500 1
Se1 0.000 0.000 0.000 1
```

---

# 2
A relaxed VGeSe2 crystal. Source: Alexandria via LeMat-Bulk, functional PBE.

```
data_VGeSe2
_chemical_formula_sum 'V3 Ge3 Se6'
_cell_length_a 3.8248
_cell_length_b 3.8248
_cell_length_c 23.7068
_cell_angle_alpha 90.00
_cell_angle_beta 90.00
_cell_angle_gamma 120.00
_symmetry_space_group_name_H-M 'R -3 m'
_symmetry_Int_Tables_number 166
_symmetry_space_group_name_Hall '-R 3 2"'
loop_
_atom_site_label
_atom_site_fract_x
_atom_site_fract_y
_atom_site_fract_z
_atom_site_occupancy
V1 0.0000 0.0000 0.0000 1
Ge1 0.0000 0.0000 0.5000 1
Se1 0.0000 0.0000 0.1008 1
```

---

# 3
A relaxed VGeSe2 crystal. Source: Alexandria via LeMat-Bulk, functional PBE.

```
data_VGeSe2
_chemical_formula_sum 'V3 Ge3 Se6'
_cell_length_a 3.2648
_cell_length_b 3.2648
_cell_length_c 26.5799
_cell_angle_alpha 90.00
_cell_angle_beta 90.00
_cell_angle_gamma 120.00
_symmetry_space_group_name_H-M 'R -3 m'
_symmetry_Int_Tables_number 166
_symmetry_space_group_name_Hall '-R 3 2"'
loop_
_atom_site_label
_atom_site_fract_x
_atom_site_fract_y
_atom_site_fract_z
_atom_site_occupancy
V1 0.0000 0.0000 0.0000 1
Ge1 0.0000 0.0000 0.5000 1
Se1 0.0000 0.0000 0.3936 1
```

---

# 4
A relaxed V2GeSe6 crystal. Source: Alexandria via LeMat-Bulk, functional PBE.

```
data_V2GeSe6
_chemical_formula_sum 'V4 Ge2 Se12'
_cell_length_a 6.088
_cell_length_b 6.088
_cell_length_c 11.191
_cell_angle_alpha 90.00
_cell_angle_beta 90.00
_cell_angle_gamma 90.00
_symmetry_space_group_name_H-M 'P 42/m n m'
_symmetry_Int_Tables_number 136
_symmetry_space_group_name_Hall '-P 4n 2n'
loop_
_atom_site_label
_atom_site_fract_x
_atom_site_fract_y
_atom_site_fract_z
_atom_site_occupancy
V1 0.000 0.000 0.178 1
Ge1 0.000 0.000 0.500 1
Se1 0.176 0.176 0.000 1
Se2 0.201 0.201 0.319 1
```

---

# 5
A relaxed VGeSe4 crystal. Source: Alexandria via LeMat-Bulk, functional PBE.

```
data_VGeSe4
_chemical_formula_sum 'V1 Ge1 Se4'
_cell_length_a 6.471
_cell_length_b 3.398
_cell_length_c 7.104
_cell_angle_alpha 90.00
_cell_angle_beta 109.33
_cell_angle_gamma 90.00
_symmetry_space_group_name_H-M 'P 1 2/m 1'
_symmetry_Int_Tables_number 10
loop_
_symmetry_equiv_pos_as_xyz
'x,y,z'
'-x,-y,-z'
'-x,y,-z'
'x,-y,z'
loop_
_atom_site_label
_atom_site_fract_x
_atom_site_fract_y
_atom_site_fract_z
_atom_site_occupancy
V1 0.000 0.000 0.000 1
Ge1 0.500 0.500 0.000 1
Se1 0.225 0.000 0.776 1
Se2 0.246 0.500 0.224 1
```

---

# 6
A relaxed VGeSe3 crystal. Source: Alexandria via LeMat-Bulk, functional PBE.

```
data_VGeSe3
_chemical_formula_sum 'V2 Ge2 Se6'
_cell_length_a 6.725
_cell_length_b 3.581
_cell_length_c 9.560
_cell_angle_alpha 90.00
_cell_angle_beta 90.03
_cell_angle_gamma 90.00
_symmetry_space_group_name_H-M 'P 1 21/m 1'
_symmetry_Int_Tables_number 11
loop_
_symmetry_equiv_pos_as_xyz
'x,y,z'
'-x,-y,-z'
'-x,y+1/2,-z'
'x,-y+1/2,z'
loop_
_atom_site_label
_atom_site_fract_x
_atom_site_fract_y
_atom_site_fract_z
_atom_site_occupancy
V1 0.058 0.250 0.357 1
Ge1 0.439 0.250 0.707 1
Se1 0.083 0.250 0.803 1
Se2 0.246 0.750 0.498 1
Se3 0.360 0.250 0.177 1
```

---

# 7
A relaxed VGe2Se6 crystal. Source: Alexandria via LeMat-Bulk, functional PBE.

```
data_VGe2Se6
_chemical_formula_sum 'V4 Ge8 Se24'
_cell_length_a 12.358
_cell_length_b 11.218
_cell_length_c 6.608
_cell_angle_alpha 90.00
_cell_angle_beta 101.08
_cell_angle_gamma 90.00
_symmetry_space_group_name_H-M 'C 1 2/c 1'
_symmetry_Int_Tables_number 15
loop_
_symmetry_equiv_pos_as_xyz
'x,y,z'
'-x,-y,-z'
'-x,y,-z+1/2'
'x,-y,z+1/2'
'x+1/2,y+1/2,z'
'-x+1/2,-y+1/2,-z'
'-x+1/2,y+1/2,-z+1/2'
'x+1/2,-y+1/2,z+1/2'
loop_
_atom_site_label
_atom_site_fract_x
_atom_site_fract_y
_atom_site_fract_z
_atom_site_occupancy
V1 0.000 0.122 0.250 1
Ge1 0.197 0.420 0.344 1
Se1 0.101 0.074 0.609 1
Se2 0.120 0.408 0.651 1
Se3 0.133 0.244 0.139 1
```

---

# 8
A relaxed VGeSe3 crystal. Source: Alexandria via LeMat-Bulk, functional PBE.

```
data_VGeSe3
_chemical_formula_sum 'V4 Ge4 Se12'
_cell_length_a 3.925
_cell_length_b 21.421
_cell_length_c 6.541
_cell_angle_alpha 90.00
_cell_angle_beta 90.00
_cell_angle_gamma 90.00
_symmetry_space_group_name_H-M 'C m c 21'
_symmetry_Int_Tables_number 36
loop_
_symmetry_equiv_pos_as_xyz
'x,y,z'
'-x,-y,z+1/2'
'-x,y,z'
'x,-y,z+1/2'
'x+1/2,y+1/2,z'
'-x+1/2,-y+1/2,z+1/2'
'-x+1/2,y+1/2,z'
'x+1/2,-y+1/2,z+1/2'
loop_
_atom_site_label
_atom_site_fract_x
_atom_site_fract_y
_atom_site_fract_z
_atom_site_occupancy
V1 0.000 0.119 0.000 1
Ge1 0.000 0.340 0.085 1
Se1 0.000 0.106 0.349 1
Se2 0.000 0.215 0.835 1
Se3 0.000 0.431 0.354 1
```

---

In the order shown, the computed calculated volume values come out to 369 300 245 415 147 230 899 550 Å³ per cell.
In the order shown, the computed raw formation energy values come out to 0.27 0.20 -0.37 -0.35 -0.40 -0.46 -0.30 -0.36 eV per atom.